1.
## SrTeHN2 (PBE)

Data for an optimized crystal structure of SrTeHN2.

Lattice parameters (Å, degrees): 5.0215 5.0215 6.7902 90.00 90.00 90.00
Closest atoms and distances in Å follow each position.
Fractional positions:
1 Sr 0.0000 0.0000 0.0000  4 N 2.51
2 Te 0.0000 0.0000 0.5000  2 Sr 3.40, 4 H 3.55
3 H 0.5000 0.5000 0.5000  4 Te 3.55
4 N 0.0000 0.5000 0.0000  2 Sr 2.51
5 N 0.5000 0.0000 0.0000  2 Sr 2.51

Output
As for the density of states at the Fermi level: 0.791 states/eV per atom. Its raw total energy is -0.2316 Ry/atom.

***

2.
## KP3 (PBE)

Data for an optimized crystal structure of KP3.

Lattice parameters (Å, degrees): 13.5745 13.5745 13.5745 164.71 164.71 21.69
Closest atoms and distances in Å follow each position.
Fractional positions:
1 K 0.1445 0.1445 0.0000  8 P 3.34-3.37, 4 K 3.61
2 K 0.8555 0.8555 0.0000  8 P 3.34-3.37, 4 K 3.61
3 P 0.0000 0.5000 0.5000  8 P 2.45-2.55
4 P 0.2500 0.7500 0.5000  4 P 2.55
5 P 0.4377 0.4377 0.0000  4 P 2.45
6 P 0.5000 0.0000 0.5000  8 P 2.45-2.55
7 P 0.5623 0.5623 0.0000  4 P 2.45
8 P 0.7500 0.2500 0.5000  4 P 2.55

Output
As for the density of states at the Fermi level: 0.397 states/eV per atom. Its raw total energy is -0.3069 Ry/atom.

***

3.
## Ba2BeCrFe (PBE)

Data for an optimized crystal structure of Ba2BeCrFe.

Lattice parameters (Å, degrees): 6.0717 6.0717 4.5637 90.00 90.00 90.00
Closest atoms and distances in Å follow each position.
Fractional positions:
1 Ba 0.0000 0.5000 0.0000  2 Be 3.04
2 Ba 0.5000 0.0000 0.0000  2 Be 3.04
3 Be 0.0000 0.0000 0.0000  2 Cr 2.28
4 Cr 0.0000 0.0000 0.5000  2 Be 2.28
5 Fe 0.5000 0.5000 0.5000  8 Ba 3.80

Output
As for the density of states at the Fermi level: 1.156 states/eV per atom. Its raw total energy is -0.3005 Ry/atom.

***

4.
## SrPCl2 (PBE)

Data for an optimized crystal structure of SrPCl2.

Lattice parameters (Å, degrees): 4.8302 4.5311 4.8426 90.00 91.74 90.00
Closest atoms and distances in Å follow each position.
Fractional positions:
1 Sr 0.0000 0.0000 0.0000  4 Cl 2.96
2 P 0.5000 0.0000 0.5000  4 Cl 2.75
3 Cl 0.2744 0.5000 0.7254  2 P 2.75, 2 Sr 2.96
4 Cl 0.7256 0.5000 0.2746  2 P 2.75, 2 Sr 2.96

Output
As for the density of states at the Fermi level: 0.294 states/eV per atom. Its raw total energy is -0.2623 Ry/atom. The raw formation energy is -0.873 eV per atom.